Y2HoZn2Ga2 | PBE | optimized geometry

abc: 9.608 9.608 9.608
angles: 26.59 26.59 26.59
Atoms (fractional coordinates):
Y: 0.126 0.126 0.126
Y: 0.874 0.874 0.874
Ho: 0.000 0.000 0.000
Zn: 0.395 0.395 0.395
Zn: 0.605 0.605 0.605
Ga: 0.265 0.265 0.265
Ga: 0.735 0.735 0.735

## Properties
DOS at the Fermi energy: 3.63 states/eV/cell
electronic total energy: -28.99 eV per formula unit
formation energy: -0.41 eV per atom
calculated density: 6.50 Mg/m³
total moment: 0.000 μB/cell


HoZnGa4 | PBE | optimized geometry

abc: 5.473 5.473 5.473
angles: 60.00 60.00 60.00
Atoms (fractional coordinates):
Ho: 0.000 0.000 0.000
Zn: 0.250 0.250 0.250
Ga: 0.125 0.625 0.625
Ga: 0.625 0.125 0.625
Ga: 0.625 0.625 0.125
Ga: 0.625 0.625 0.625

## Properties
energy relative to the lowest polymorph listed for this composition: 0.146 eV per atom
DOS at the Fermi energy: 4.20 states/eV/cell
electronic total energy: -19.00 eV per formula unit
formation energy: -0.17 eV per atom
calculated density: 7.30 Mg/m³
total moment: 0.000 μB/cell


Ho2Zn9Ga3 | PBE | optimized geometry

abc: 7.778 7.778 9.034
angles: 90.00 90.00 61.21
Atoms (fractional coordinates):
Ho: 0.009 0.312 0.250
Ho: 0.312 0.009 0.750
Ho: 0.688 0.991 0.250
Ho: 0.991 0.688 0.750
Zn: 0.028 0.651 0.094
Zn: 0.028 0.651 0.406
Zn: 0.151 0.849 0.250
Zn: 0.334 0.666 0.564
Zn: 0.334 0.666 0.936
Zn: 0.349 0.972 0.094
Zn: 0.349 0.972 0.406
Zn: 0.359 0.448 0.250
Zn: 0.448 0.359 0.750
Zn: 0.552 0.641 0.250
Zn: 0.641 0.552 0.750
Zn: 0.651 0.028 0.594
Zn: 0.651 0.028 0.906
Zn: 0.666 0.334 0.064
Zn: 0.666 0.334 0.436
Zn: 0.849 0.151 0.750
Zn: 0.972 0.349 0.594
Zn: 0.972 0.349 0.906
Ga: 0.000 0.000 0.000
Ga: 0.000 0.000 0.500
Ga: 0.309 0.309 0.000
Ga: 0.309 0.309 0.500
Ga: 0.691 0.691 0.000
Ga: 0.691 0.691 0.500

## Properties
DOS at the Fermi energy: 8.73 states/eV/cell
electronic total energy: -33.00 eV per formula unit
formation energy: -0.24 eV per atom
calculated density: 7.82 Mg/m³
total moment: 0.000 μB/cell


Ho3Zn2Ga4 | PBE | optimized geometry

abc: 5.702 5.702 8.393
angles: 108.71 108.71 45.10
Atoms (fractional coordinates):
Ho: 0.000 0.000 0.000
Ho: 0.331 0.331 0.333
Ho: 0.669 0.669 0.667
Zn: 0.396 0.396 0.726
Zn: 0.604 0.604 0.274
Ga: 0.065 0.065 0.399
Ga: 0.294 0.294 0.959
Ga: 0.706 0.706 0.041
Ga: 0.935 0.935 0.601

## Properties
DOS at the Fermi energy: 3.86 states/eV/cell
electronic total energy: -33.67 eV per formula unit
formation energy: -0.59 eV per atom
calculated density: 8.29 Mg/m³
total moment: 0.000 μB/cell


HoZn3Ga3 | PBE | optimized geometry

abc: 8.340 8.340 8.340
angles: 60.00 60.00 60.00
Atoms (fractional coordinates):
Ho: 0.250 0.250 0.250
Ho: 0.750 0.750 0.750
Zn: 0.151 0.151 0.849
Zn: 0.151 0.849 0.151
Zn: 0.151 0.849 0.849
Zn: 0.849 0.151 0.151
Zn: 0.849 0.151 0.849
Zn: 0.849 0.849 0.151
Ga: 0.344 0.344 0.656
Ga: 0.344 0.656 0.344
Ga: 0.344 0.656 0.656
Ga: 0.656 0.344 0.344
Ga: 0.656 0.344 0.656
Ga: 0.656 0.656 0.344

## Properties
energy relative to the lowest polymorph listed for this composition: 0.329 eV per atom
DOS at the Fermi energy: 14.97 states/eV/cell
electronic total energy: -13.51 eV per formula unit
formation energy: 0.57 eV per atom
calculated density: 4.62 Mg/m³
total moment: 0.000 μB/cell


Ho4ZnGa12 | PBE | optimized geometry

abc: 7.507 7.507 7.507
angles: 109.47 109.47 109.47
Atoms (fractional coordinates):
Ho: 0.000 0.000 0.500
Ho: 0.000 0.500 0.000
Ho: 0.500 0.000 0.000
Ho: 0.500 0.500 0.500
Zn: 0.000 0.000 0.000
Ga: 0.000 0.301 0.301
Ga: 0.000 0.699 0.699
Ga: 0.250 0.500 0.750
Ga: 0.250 0.750 0.500
Ga: 0.301 0.000 0.301
Ga: 0.301 0.301 0.000
Ga: 0.500 0.250 0.750
Ga: 0.500 0.750 0.250
Ga: 0.699 0.000 0.699
Ga: 0.699 0.699 0.000
Ga: 0.750 0.250 0.500
Ga: 0.750 0.500 0.250

## Properties
DOS at the Fermi energy: 7.24 states/eV/cell
electronic total energy: -64.04 eV per formula unit
formation energy: -0.48 eV per atom
calculated density: 7.96 Mg/m³
total moment: 0.000 μB/cell


Which formula does entry 6 have? Ho4ZnGa12